CaPrInGe: optimized geometry, GGA-PBE.

a = 5.359 Å, b = 5.359 Å, c = 5.359 Å
α = 60.00°, β = 60.00°, γ = 60.00°
Sites, in units of the cell vectors:
In (0.750, 0.750, 0.750)
Ca (0.500, 0.500, 0.500)
Ge (0.250, 0.250, 0.250)
Pr (0.000, 0.000, 0.000)

Calculated values
Spin magnetization, μB/f.u.: 0.00
Mass density, g/cm³: 5.621
Calculated formation energy, eV/f.u.: -1.85
Symmetry: F-43m